The following is a DFT calculation (PBE) of crystalline AcPuTl4 at its relaxed geometry.

a b c (Å): 8.9957 8.9957 8.9957
angles (deg): 90.00 90.00 90.00
Last column: nearest neighbours and their distance in Å.
Space group F-43m (No. 216)
Asymmetric unit:
Ac (0.0000, 0.0000, 0.0000) [4 per cell]  12 Tl 3.73, 4 Pu 3.90
Pu (0.2500, 0.2500, 0.7500) [4 per cell]  12 Tl 3.73, 4 Ac 3.90
Tl (0.1248, 0.1248, 0.3752) [16 per cell]  6 Tl 3.17-3.19



The following is a DFT calculation (PBE) of crystalline Ac3PuTl4 at its relaxed geometry.

a b c (Å): 4.0020 4.0020 16.7174
angles (deg): 90.00 90.00 90.00
Last column: nearest neighbours and their distance in Å.
Space group P4/mmm (No. 123)
Asymmetric unit:
Ac (0.0000, 0.0000, 0.0000) [1 per cell]  8 Tl 3.59, 4 Ac 4.00
Ac (0.0000, 0.0000, 0.2625) [2 per cell]  8 Tl 3.57, 1 Pu 3.97
Pu (0.0000, 0.0000, 0.5000) [1 per cell]  8 Tl 3.35
Tl (0.5000, 0.5000, 0.1322) [2 per cell]  8 Ac 3.57-3.59
Tl (0.5000, 0.5000, 0.3924) [2 per cell]  4 Pu 3.35, 4 Ac 3.57, 1 Tl 3.60



The following is a DFT calculation (PBE) of crystalline AcPuTl at its relaxed geometry.

a b c (Å): 5.5464 5.5464 3.7498
angles (deg): 90.00 90.00 120.00
Last column: nearest neighbours and their distance in Å.
Space group P3m1 (No. 156)
Asymmetric unit:
Ac (0.0000, 0.0000, 0.0000) [1 per cell]  6 Tl 3.70-3.72, 6 Pu 3.70-3.72, 2 Ac 3.75
Pu (0.3333, 0.6667, 0.4953) [1 per cell]  3 Tl 3.20
Tl (0.6667, 0.3333, 0.5065) [1 per cell]  3 Pu 3.20



| no. | N(E_F) (states/eV per cell) | energy relative to the elements (meV/atom) |
| --- | --- | --- |
| 1 | 79.45 | -35 |
| 2 | 15.65 | -243 |
| 3 | 8.25 | 38 |